Entry 1:
# TiVSiMo GGA-PBE relaxed
data_TiVSiMo
_cell_length_a 6.1188
_cell_length_b 6.1188
_cell_length_c 6.1188
_cell_angle_alpha 90.00
_cell_angle_beta 90.00
_cell_angle_gamma 90.00
_space_group_name_H-M_alt 'F -4 3 m'
_space_group_IT_number 216
_space_group_name_Hall 'F -4 2 3'
loop_
_atom_site_label
_atom_site_fract_x
_atom_site_fract_y
_atom_site_fract_z
Ti1 0.0000 0.0000 0.0000
V1 0.0000 0.0000 0.5000
Si1 0.2500 0.2500 0.2500
Mo1 0.2500 0.2500 0.7500
# - DFT total energy (eV per atom) = -8.64

Entry 2:
# TlSiMo GGA-PBE relaxed
data_TlSiMo
_cell_length_a 2.9047
_cell_length_b 2.9047
_cell_length_c 13.6116
_cell_angle_alpha 90.00
_cell_angle_beta 90.00
_cell_angle_gamma 90.00
_space_group_name_H-M_alt 'I 4 m m'
_space_group_IT_number 107
_space_group_name_Hall 'I 4 -2'
loop_
_atom_site_label
_atom_site_fract_x
_atom_site_fract_y
_atom_site_fract_z
Tl1 0.0000 0.0000 0.0000
Si1 0.0000 0.0000 0.6992
Mo1 0.0000 0.0000 0.3245
# - DFT total energy (eV per atom) = -5.60
# - relative energy among the computed polymorphs (meV/atom) = 308

Entry 3:
# Tl4SiMo GGA-PBE relaxed
data_Tl4SiMo
_cell_length_a 8.7521
_cell_length_b 8.7521
_cell_length_c 8.7521
_cell_angle_alpha 90.00
_cell_angle_beta 90.00
_cell_angle_gamma 90.00
_space_group_name_H-M_alt 'F -4 3 m'
_space_group_IT_number 216
_space_group_name_Hall 'F -4 2 3'
loop_
_atom_site_label
_atom_site_fract_x
_atom_site_fract_y
_atom_site_fract_z
Tl1 0.1250 0.1250 0.1250
Si1 0.0000 0.0000 0.5000
Mo1 0.2500 0.2500 0.7500
# - DFT total energy (eV per atom) = -3.19

Entry 4:
# TlSiMo GGA-PBE relaxed
data_TlSiMo
_cell_length_a 3.1663
_cell_length_b 3.1663
_cell_length_c 6.6199
_cell_angle_alpha 90.00
_cell_angle_beta 90.00
_cell_angle_gamma 120.00
_space_group_name_H-M_alt 'P 3 m 1'
_space_group_IT_number 156
_space_group_name_Hall 'P 3 -2"'
loop_
_atom_site_label
_atom_site_fract_x
_atom_site_fract_y
_atom_site_fract_z
Tl1 0.0000 0.0000 0.0000
Si1 0.3333 0.6667 0.6168
Mo1 0.6667 0.3333 0.3663
# - DFT total energy (eV per atom) = -5.73
# - relative energy among the computed polymorphs (meV/atom) = 169

Entry 5:
# TlSiMo2 GGA-PBE relaxed
data_TlSiMo2
_cell_length_a 3.0954
_cell_length_b 3.0954
_cell_length_c 26.4516
_cell_angle_alpha 90.00
_cell_angle_beta 90.00
_cell_angle_gamma 120.00
_space_group_name_H-M_alt 'R 3 m'
_space_group_IT_number 160
_space_group_name_Hall 'R 3 -2"'
loop_
_atom_site_label
_atom_site_fract_x
_atom_site_fract_y
_atom_site_fract_z
Tl1 0.0000 0.0000 0.0000
Si1 0.0000 0.0000 0.2378
Mo1 0.0000 0.0000 0.4990
Mo2 0.0000 0.0000 0.7612
# - DFT total energy (eV per atom) = -6.98
# - relative energy among the computed polymorphs (meV/atom) = 149

Entry 6:
# TlSiMo2 GGA-PBE relaxed
data_TlSiMo2
_cell_length_a 3.2952
_cell_length_b 4.3704
_cell_length_c 4.7640
_cell_angle_alpha 90.00
_cell_angle_beta 90.00
_cell_angle_gamma 90.00
_space_group_name_H-M_alt 'P m m m'
_space_group_IT_number 47
_space_group_name_Hall '-P 2 2'
loop_
_atom_site_label
_atom_site_fract_x
_atom_site_fract_y
_atom_site_fract_z
Tl1 0.0000 0.0000 0.0000
Si1 0.5000 0.0000 0.5000
Mo1 0.0000 0.5000 0.5000
Mo2 0.5000 0.5000 0.0000
# - DFT total energy (eV per atom) = -6.75
# - relative energy among the computed polymorphs (meV/atom) = 385

Entry 7:
# TlSiMo2 GGA-PBE relaxed
data_TlSiMo2
_cell_length_a 3.1028
_cell_length_b 3.1258
_cell_length_c 7.1268
_cell_angle_alpha 90.00
_cell_angle_beta 90.47
_cell_angle_gamma 90.00
_space_group_name_H-M_alt 'P 1 2/m 1'
_space_group_IT_number 10
_space_group_name_Hall '-P 2y'
loop_
_atom_site_label
_atom_site_fract_x
_atom_site_fract_y
_atom_site_fract_z
Tl1 0.0000 0.0000 0.0000
Si1 0.0000 0.0000 0.5000
Mo1 0.4959 0.5000 0.3150
# - DFT total energy (eV per atom) = -7.13
# - relative energy among the computed polymorphs (meV/atom) = 3

Entry 8:
# TlSiMo2 GGA-PBE relaxed
data_TlSiMo2
_cell_length_a 4.7550
_cell_length_b 2.9637
_cell_length_c 5.2206
_cell_angle_alpha 90.00
_cell_angle_beta 111.81
_cell_angle_gamma 90.00
_space_group_name_H-M_alt 'P 1 2/m 1'
_space_group_IT_number 10
_space_group_name_Hall '-P 2y'
loop_
_atom_site_label
_atom_site_fract_x
_atom_site_fract_y
_atom_site_fract_z
Tl1 0.0000 0.0000 0.0000
Si1 0.0000 0.5000 0.5000
Mo1 0.5000 0.0000 0.5000
Mo2 0.5000 0.5000 0.0000
# - DFT total energy (eV per atom) = -6.78
# - relative energy among the computed polymorphs (meV/atom) = 348

Entry 9:
# TlSi3Mo GGA-PBE relaxed
data_TlSi3Mo
_cell_length_a 4.8204
_cell_length_b 4.8204
_cell_length_c 4.8204
_cell_angle_alpha 90.00
_cell_angle_beta 90.00
_cell_angle_gamma 90.00
_space_group_name_H-M_alt 'P m -3 m'
_space_group_IT_number 221
_space_group_name_Hall '-P 4 2 3'
loop_
_atom_site_label
_atom_site_fract_x
_atom_site_fract_y
_atom_site_fract_z
Tl1 0.0000 0.0000 0.0000
Si1 0.0000 0.5000 0.5000
Mo1 0.5000 0.5000 0.5000
# - DFT total energy (eV per atom) = -5.49
# - relative energy among the computed polymorphs (meV/atom) = 0

Entry 10:
# TlSiMo2 GGA-PBE relaxed
data_TlSiMo2
_cell_length_a 3.9979
_cell_length_b 3.9979
_cell_length_c 8.4161
_cell_angle_alpha 90.00
_cell_angle_beta 90.00
_cell_angle_gamma 90.00
_space_group_name_H-M_alt 'I -4 m 2'
_space_group_IT_number 119
_space_group_name_Hall 'I -4 -2'
loop_
_atom_site_label
_atom_site_fract_x
_atom_site_fract_y
_atom_site_fract_z
Tl1 0.0000 0.0000 0.0000
Si1 0.0000 0.5000 0.2500
Mo1 0.0000 0.0000 0.5000
Mo2 0.0000 0.5000 0.7500
# - DFT total energy (eV per atom) = -6.77
# - relative energy among the computed polymorphs (meV/atom) = 359

Entry 11:
# TlSiMo2 GGA-PBE relaxed
data_TlSiMo2
_cell_length_a 6.5046
_cell_length_b 6.5046
_cell_length_c 6.5046
_cell_angle_alpha 90.00
_cell_angle_beta 90.00
_cell_angle_gamma 90.00
_space_group_name_H-M_alt 'F -4 3 m'
_space_group_IT_number 216
_space_group_name_Hall 'F -4 2 3'
loop_
_atom_site_label
_atom_site_fract_x
_atom_site_fract_y
_atom_site_fract_z
Tl1 0.0000 0.0000 0.0000
Si1 0.2500 0.2500 0.2500
Mo1 0.0000 0.0000 0.5000
Mo2 0.2500 0.2500 0.7500
# - DFT total energy (eV per atom) = -6.64
# - relative energy among the computed polymorphs (meV/atom) = 487

Entry 12:
# TlSiMo2 GGA-PBE relaxed
data_TlSiMo2
_cell_length_a 3.2284
_cell_length_b 3.2284
_cell_length_c 6.7973
_cell_angle_alpha 90.00
_cell_angle_beta 90.00
_cell_angle_gamma 90.00
_space_group_name_H-M_alt 'P 4 m m'
_space_group_IT_number 99
_space_group_name_Hall 'P 4 -2'
loop_
_atom_site_label
_atom_site_fract_x
_atom_site_fract_y
_atom_site_fract_z
Tl1 0.0000 0.0000 0.0000
Si1 0.5000 0.5000 0.6806
Mo1 0.0000 0.0000 0.5132
Mo2 0.5000 0.5000 0.2897
# - DFT total energy (eV per atom) = -7.13
# - relative energy among the computed polymorphs (meV/atom) = 0

Entry 13:
# TlSiMo2 GGA-PBE relaxed
data_TlSiMo2
_cell_length_a 3.3838
_cell_length_b 4.6477
_cell_length_c 9.3960
_cell_angle_alpha 90.00
_cell_angle_beta 90.00
_cell_angle_gamma 90.00
_space_group_name_H-M_alt 'C m m 2'
_space_group_IT_number 35
_space_group_name_Hall 'C 2 -2'
loop_
_atom_site_label
_atom_site_fract_x
_atom_site_fract_y
_atom_site_fract_z
Tl1 0.0000 0.0000 0.0000
Si1 0.0000 0.5000 0.6967
Mo1 0.0000 0.0000 0.4938
Mo2 0.0000 0.5000 0.2753
# - DFT total energy (eV per atom) = -6.91
# - relative energy among the computed polymorphs (meV/atom) = 221

Entry 14:
# TlSiMo2 GGA-PBE relaxed
data_TlSiMo2
_cell_length_a 3.4168
_cell_length_b 4.8619
_cell_length_c 8.3077
_cell_angle_alpha 90.00
_cell_angle_beta 90.00
_cell_angle_gamma 90.00
_space_group_name_H-M_alt 'C m m m'
_space_group_IT_number 65
_space_group_name_Hall '-C 2 2'
loop_
_atom_site_label
_atom_site_fract_x
_atom_site_fract_y
_atom_site_fract_z
Tl1 0.0000 0.0000 0.0000
Si1 0.0000 0.0000 0.5000
Mo1 0.0000 0.5000 0.2896
# - DFT total energy (eV per atom) = -6.98
# - relative energy among the computed polymorphs (meV/atom) = 148

Entry 15:
# TlSiMo GGA-PBE relaxed
data_TlSiMo
_cell_length_a 3.3427
_cell_length_b 3.3427
_cell_length_c 10.0129
_cell_angle_alpha 90.00
_cell_angle_beta 90.00
_cell_angle_gamma 90.00
_space_group_name_H-M_alt 'I 4 m m'
_space_group_IT_number 107
_space_group_name_Hall 'I 4 -2'
loop_
_atom_site_label
_atom_site_fract_x
_atom_site_fract_y
_atom_site_fract_z
Tl1 0.0000 0.0000 0.0000
Si1 0.0000 0.0000 0.7116
Mo1 0.0000 0.0000 0.2969
# - DFT total energy (eV per atom) = -5.90
# - relative energy among the computed polymorphs (meV/atom) = 0

| no. | formation energy from raw total energies (kJ per mole of atoms) |
| --- | --- |
| 1 | -31.43 |
| 2 | 58.97 |
| 3 | 105.49 |
| 4 | 45.62 |
| 5 | 36.82 |
| 6 | 59.60 |
| 7 | 22.73 |
| 8 | 55.98 |
| 9 | 38.55 |
| 10 | 57.05 |
| 11 | 69.42 |
| 12 | 22.43 |
| 13 | 43.78 |
| 14 | 36.70 |
| 15 | 29.27 |